Entry from the Alexandria database: a PBEsol-optimized structure of Be2SbOs (meta-GGA SCAN).

```
4
Lattice="3.7197 0.0000 0.0000 0.0000 3.7208 0.0000 -1.8599 -1.8604 3.8044" Properties=species:S:1:pos:R:3 pbc="T T T"
Sb 0.0000 1.8604 1.9026
Os 1.8599 1.8604 0.0004
Be 0.0000 0.0000 0.0010
Be 1.8599 0.0000 1.9005
```

## Properties
The value obtained for the volume is 13.16 Å³/atom. As for the symmetry: I-4m2. The energy comes out at -116.7 eV for the cell shown.